Material: Sm2Ga5Ni3
Method: DFT, PBE
State: optimized geometry

abc: 12.379 12.379 6.640
angles: 90.00 90.00 160.32
Sites, in units of the cell vectors:
Sm1 0.020 0.980 0.500
Sm2 0.326 0.674 0.461
Sm3 0.674 0.326 0.961
Sm4 0.980 0.020 0.000
Ga1 0.100 0.900 0.148
Ga2 0.206 0.794 0.651
Ga3 0.211 0.789 0.254
Ga4 0.374 0.626 0.986
Ga5 0.447 0.553 0.321
Ga6 0.553 0.447 0.821
Ga7 0.626 0.374 0.486
Ga8 0.789 0.211 0.754
Ga9 0.794 0.206 0.151
Ga10 0.900 0.100 0.648
Ni1 0.107 0.893 0.763
Ni2 0.273 0.727 0.951
Ni3 0.448 0.552 0.712
Ni4 0.552 0.448 0.212
Ni5 0.727 0.273 0.451
Ni6 0.893 0.107 0.263

## Properties
Its calculated formation energy is -545 meV/atom. Its density of states at the Fermi level is 12.493 states/eV per cell. The spin magnetization is 0.00 μB/f.u.